# BePt2S | the Alexandria database | PBE | relaxed
data_BePt2S
_symmetry_space_group_name_H-M 'I -4 2 d'
_symmetry_Int_Tables_number 122
_symmetry_space_group_name_Hall 'I -4 2bw'
_cell_length_a 4.001
_cell_length_b 4.001
_cell_length_c 15.059
_cell_angle_alpha 90.00
_cell_angle_beta 90.00
_cell_angle_gamma 90.00
loop_
_atom_site_label
_atom_site_fract_x
_atom_site_fract_y
_atom_site_fract_z
_atom_site_occupancy
Be1 0.000 0.000 0.000 1
Pt1 0.249 0.250 0.625 1
S1 0.000 0.000 0.500 1
# Formation energy from raw total energies = -0.14 eV per atom
# VASP energy = -81.99 eV/cell
# ΔE to the lowest computed polymorph = 0.000 eV/atom

---

# EuDyPuMg | the Alexandria database | PBE | relaxed
data_EuDyPuMg
_symmetry_space_group_name_H-M 'F -4 3 m'
_symmetry_Int_Tables_number 216
_symmetry_space_group_name_Hall 'F -4 2 3'
_cell_length_a 7.858
_cell_length_b 7.858
_cell_length_c 7.858
_cell_angle_alpha 90.00
_cell_angle_beta 90.00
_cell_angle_gamma 90.00
loop_
_atom_site_label
_atom_site_fract_x
_atom_site_fract_y
_atom_site_fract_z
_atom_site_occupancy
Eu1 0.000 0.000 0.000 1
Dy1 0.000 0.000 0.500 1
Pu1 0.250 0.250 0.750 1
Mg1 0.250 0.250 0.250 1
# VASP energy = -119.52 eV/cell
# Formation enthalpy at 0 K = 22 kJ per mole of atoms

---

# ZnAs2F8 | the Alexandria database | PBE | relaxed
data_ZnAs2F8
_symmetry_space_group_name_H-M 'C 1 2/c 1'
_symmetry_Int_Tables_number 15
_symmetry_space_group_name_Hall '-C 2yc'
_cell_length_a 12.235
_cell_length_b 5.847
_cell_length_c 10.608
_cell_angle_alpha 90.00
_cell_angle_beta 116.31
_cell_angle_gamma 90.00
loop_
_atom_site_label
_atom_site_fract_x
_atom_site_fract_y
_atom_site_fract_z
_atom_site_occupancy
Zn1 0.000 0.179 0.250 1
As1 0.123 0.335 0.624 1
F1 0.039 0.353 0.939 1
F2 0.088 0.134 0.460 1
F3 0.124 0.099 0.739 1
F4 0.128 0.406 0.257 1
# Formation energy from raw total energies = -2.12 eV per atom
# VASP energy = -195.61 eV/cell
# ΔE to the lowest computed polymorph = 0.000 eV/atom

---

# Cu4HgBr7 | the Alexandria database | PBE | relaxed
data_Cu4HgBr7
_symmetry_space_group_name_H-M 'C m c m'
_symmetry_Int_Tables_number 63
_symmetry_space_group_name_Hall '-C 2c 2'
_cell_length_a 17.365
_cell_length_b 10.122
_cell_length_c 7.902
_cell_angle_alpha 90.00
_cell_angle_beta 90.00
_cell_angle_gamma 90.00
loop_
_atom_site_label
_atom_site_fract_x
_atom_site_fract_y
_atom_site_fract_z
_atom_site_occupancy
Cu1 0.117 0.166 0.250 1
Cu2 0.199 0.500 0.000 1
Hg1 0.000 0.247 0.750 1
Br1 0.000 0.032 0.250 1
Br2 0.116 0.304 0.501 1
Br3 0.220 0.000 0.250 1
# Formation energy from raw total energies = -0.33 eV per atom
# VASP energy = -129.22 eV/cell

---

# LiNd3Hg3 | the Alexandria database | PBE | relaxed
data_LiNd3Hg3
_symmetry_space_group_name_H-M 'C 1 2/m 1'
_symmetry_Int_Tables_number 12
_symmetry_space_group_name_Hall '-C 2y'
_cell_length_a 10.361
_cell_length_b 10.192
_cell_length_c 7.563
_cell_angle_alpha 90.00
_cell_angle_beta 91.73
_cell_angle_gamma 90.00
loop_
_atom_site_label
_atom_site_fract_x
_atom_site_fract_y
_atom_site_fract_z
_atom_site_occupancy
Li1 0.089 0.000 0.372 1
Nd1 0.063 0.500 0.746 1
Nd2 0.249 0.304 0.256 1
Hg1 0.000 0.246 0.000 1
Hg2 0.000 0.249 0.500 1
Hg3 0.172 0.000 0.048 1
# VASP energy = -76.34 eV/cell
# Formation enthalpy at 0 K = -27 kJ per mole of atoms

---

# Hf8SbPt2 | the Alexandria database | PBE | relaxed
data_Hf8SbPt2
_symmetry_space_group_name_H-M 'C 1 2/m 1'
_symmetry_Int_Tables_number 12
_symmetry_space_group_name_Hall '-C 2y'
_cell_length_a 7.761
_cell_length_b 12.538
_cell_length_c 5.261
_cell_angle_alpha 90.00
_cell_angle_beta 108.03
_cell_angle_gamma 90.00
loop_
_atom_site_label
_atom_site_fract_x
_atom_site_fract_y
_atom_site_fract_z
_atom_site_occupancy
Hf1 0.000 0.247 0.000 1
Hf2 0.095 0.500 0.809 1
Hf3 0.211 0.118 0.603 1
Sb1 0.000 0.000 0.000 1
Pt1 0.000 0.298 0.500 1
# Formation energy from raw total energies = -0.36 eV per atom
# VASP energy = -199.53 eV/cell

---

# Fe3ReAs | the Alexandria database | PBE | relaxed
data_Fe3ReAs
_symmetry_space_group_name_H-M 'P m -3 m'
_symmetry_Int_Tables_number 221
_symmetry_space_group_name_Hall '-P 4 2 3'
_cell_length_a 4.520
_cell_length_b 4.520
_cell_length_c 4.520
_cell_angle_alpha 90.00
_cell_angle_beta 90.00
_cell_angle_gamma 90.00
loop_
_atom_site_label
_atom_site_fract_x
_atom_site_fract_y
_atom_site_fract_z
_atom_site_occupancy
Fe1 0.000 0.000 0.500 1
Re1 0.000 0.000 0.000 1
As1 0.500 0.500 0.500 1
# VASP energy = -34.93 eV/cell
# ΔE to the lowest computed polymorph = 0.090 eV/atom
# Formation enthalpy at 0 K = 146 kJ per mole of atoms

---

# Li2GaTeW | the Alexandria database | PBE | relaxed
data_Li2GaTeW
_symmetry_space_group_name_H-M 'P 4/m m m'
_symmetry_Int_Tables_number 123
_symmetry_space_group_name_Hall '-P 4 2'
_cell_length_a 4.823
_cell_length_b 4.823
_cell_length_c 6.151
_cell_angle_alpha 90.00
_cell_angle_beta 90.00
_cell_angle_gamma 90.00
loop_
_atom_site_label
_atom_site_fract_x
_atom_site_fract_y
_atom_site_fract_z
_atom_site_occupancy
Li1 0.000 0.500 0.000 1
Ga1 0.000 0.000 0.500 1
Te1 0.000 0.000 0.000 1
W1 0.500 0.500 0.500 1
# Formation energy from raw total energies = 1.04 eV per atom
# VASP energy = -17.76 eV/cell
# ΔE to the lowest computed polymorph = 0.000 eV/atom

---

# Tl2SnPb2 | the Alexandria database | PBE | relaxed
data_Tl2SnPb2
_symmetry_space_group_name_H-M 'I 4/m m m'
_symmetry_Int_Tables_number 139
_symmetry_space_group_name_Hall '-I 4 2'
_cell_length_a 4.415
_cell_length_b 4.415
_cell_length_c 17.051
_cell_angle_alpha 90.00
_cell_angle_beta 90.00
_cell_angle_gamma 90.00
loop_
_atom_site_label
_atom_site_fract_x
_atom_site_fract_y
_atom_site_fract_z
_atom_site_occupancy
Tl1 0.000 0.000 0.094 1
Sn1 0.000 0.000 0.500 1
Pb1 0.000 0.500 0.250 1
# VASP energy = -30.19 eV/cell
# ΔE to the lowest computed polymorph = 0.200 eV/atom
# Formation enthalpy at 0 K = 20 kJ per mole of atoms

---

# Pm12ErAl4O3 | the Alexandria database | PBE | relaxed
data_Pm12ErAl4O3
_symmetry_space_group_name_H-M 'I m -3 m'
_symmetry_Int_Tables_number 229
_symmetry_space_group_name_Hall '-I 4 2 3'
_cell_length_a 10.150
_cell_length_b 10.150
_cell_length_c 10.150
_cell_angle_alpha 90.00
_cell_angle_beta 90.00
_cell_angle_gamma 90.00
loop_
_atom_site_label
_atom_site_fract_x
_atom_site_fract_y
_atom_site_fract_z
_atom_site_occupancy
Pm1 0.000 0.000 0.274 1
Pm2 0.000 0.250 0.500 1
Er1 0.000 0.000 0.000 1
Al1 0.250 0.250 0.250 1
O1 0.000 0.000 0.500 1
# Formation energy from raw total energies = -0.68 eV per atom
# VASP energy = -210.13 eV/cell

---

# RbTa2Cl | the Alexandria database | PBE | relaxed
data_RbTa2Cl
_symmetry_space_group_name_H-M 'F m -3 m'
_symmetry_Int_Tables_number 225
_symmetry_space_group_name_Hall '-F 4 2 3'
_cell_length_a 7.018
_cell_length_b 7.018
_cell_length_c 7.018
_cell_angle_alpha 90.00
_cell_angle_beta 90.00
_cell_angle_gamma 90.00
loop_
_atom_site_label
_atom_site_fract_x
_atom_site_fract_y
_atom_site_fract_z
_atom_site_occupancy
Rb1 0.000 0.000 0.000 1
Ta1 0.250 0.250 0.250 1
Cl1 0.000 0.000 0.500 1
# Formation energy from raw total energies = 2.25 eV per atom
# VASP energy = -70.15 eV/cell
# ΔE to the lowest computed polymorph = 1.385 eV/atom

---

# SrNi2Te | the Alexandria database | PBE | relaxed
data_SrNi2Te
_symmetry_space_group_name_H-M 'I m m m'
_symmetry_Int_Tables_number 71
_symmetry_space_group_name_Hall '-I 2 2'
_cell_length_a 4.495
_cell_length_b 5.384
_cell_length_c 6.850
_cell_angle_alpha 90.00
_cell_angle_beta 90.00
_cell_angle_gamma 90.00
loop_
_atom_site_label
_atom_site_fract_x
_atom_site_fract_y
_atom_site_fract_z
_atom_site_occupancy
Sr1 0.000 0.000 0.000 1
Ni1 0.000 0.500 0.183 1
Te1 0.000 0.000 0.500 1
# Formation energy from raw total energies = -0.06 eV per atom
# VASP energy = -33.29 eV/cell
# ΔE to the lowest computed polymorph = 0.312 eV/atom

---

# Ca3LaGe | the Alexandria database | PBE | relaxed
data_Ca3LaGe
_symmetry_space_group_name_H-M 'P m -3 m'
_symmetry_Int_Tables_number 221
_symmetry_space_group_name_Hall '-P 4 2 3'
_cell_length_a 5.775
_cell_length_b 5.775
_cell_length_c 5.775
_cell_angle_alpha 90.00
_cell_angle_beta 90.00
_cell_angle_gamma 90.00
loop_
_atom_site_label
_atom_site_fract_x
_atom_site_fract_y
_atom_site_fract_z
_atom_site_occupancy
Ca1 0.000 0.000 0.500 1
La1 0.000 0.000 0.000 1
Ge1 0.500 0.500 0.500 1
# VASP energy = -10.26 eV/cell
# ΔE to the lowest computed polymorph = 1.099 eV/atom
# Formation enthalpy at 0 K = 102 kJ per mole of atoms

---

# NdEr2In3Se6 | the Alexandria database | PBE | relaxed
data_NdEr2In3Se6
_symmetry_space_group_name_H-M 'C 1 2/m 1'
_symmetry_Int_Tables_number 12
_symmetry_space_group_name_Hall '-C 2y'
_cell_length_a 7.234
_cell_length_b 12.523
_cell_length_c 8.107
_cell_angle_alpha 90.00
_cell_angle_beta 107.29
_cell_angle_gamma 90.00
loop_
_atom_site_label
_atom_site_fract_x
_atom_site_fract_y
_atom_site_fract_z
_atom_site_occupancy
Nd1 0.000 0.000 0.000 1
Er1 0.000 0.333 0.000 1
In1 0.000 0.165 0.500 1
In2 0.000 0.500 0.500 1
Se1 0.225 0.500 0.207 1
Se2 0.242 0.172 0.210 1
# Formation energy from raw total energies = -1.29 eV per atom
# VASP energy = -117.00 eV/cell

---

# Tl3Bi2Au5 | the Alexandria database | PBE | relaxed
data_Tl3Bi2Au5
_symmetry_space_group_name_H-M 'C 1 2/c 1'
_symmetry_Int_Tables_number 15
_symmetry_space_group_name_Hall '-C 2yc'
_cell_length_a 9.755
_cell_length_b 21.413
_cell_length_c 5.954
_cell_angle_alpha 90.00
_cell_angle_beta 127.56
_cell_angle_gamma 90.00
loop_
_atom_site_label
_atom_site_fract_x
_atom_site_fract_y
_atom_site_fract_z
_atom_site_occupancy
Tl1 0.000 0.000 0.250 1
Tl2 0.157 0.269 0.156 1
Bi1 0.157 0.385 0.658 1
Au1 0.000 0.149 0.750 1
Au2 0.000 0.150 0.250 1
Au3 0.000 0.500 0.250 1
Au4 0.232 0.415 0.233 1
# VASP energy = -124.82 eV/cell
# Formation enthalpy at 0 K = 0 kJ per mole of atoms

---

# Li2CuPb | the Alexandria database | PBE | relaxed
data_Li2CuPb
_symmetry_space_group_name_H-M 'P m m 2'
_symmetry_Int_Tables_number 25
_symmetry_space_group_name_Hall 'P 2 -2'
_cell_length_a 3.092
_cell_length_b 4.617
_cell_length_c 5.069
_cell_angle_alpha 90.00
_cell_angle_beta 90.00
_cell_angle_gamma 90.00
loop_
_atom_site_label
_atom_site_fract_x
_atom_site_fract_y
_atom_site_fract_z
_atom_site_occupancy
Li1 0.000 0.000 0.000 1
Li2 0.000 0.500 0.318 1
Cu1 0.500 0.000 0.487 1
Pb1 0.500 0.500 0.802 1
# VASP energy = -11.95 eV/cell
# Formation enthalpy at 0 K = -8 kJ per mole of atoms

---

# DyAlNiPt | the Alexandria database | PBE | relaxed
data_DyAlNiPt
_symmetry_space_group_name_H-M 'F -4 3 m'
_symmetry_Int_Tables_number 216
_symmetry_space_group_name_Hall 'F -4 2 3'
_cell_length_a 6.487
_cell_length_b 6.487
_cell_length_c 6.487
_cell_angle_alpha 90.00
_cell_angle_beta 90.00
_cell_angle_gamma 90.00
loop_
_atom_site_label
_atom_site_fract_x
_atom_site_fract_y
_atom_site_fract_z
_atom_site_occupancy
Dy1 0.000 0.000 0.000 1
Al1 0.000 0.000 0.500 1
Ni1 0.250 0.250 0.750 1
Pt1 0.250 0.250 0.250 1
# VASP energy = -92.65 eV/cell
# Formation enthalpy at 0 K = -72 kJ per mole of atoms

---

# PmTlFe | the Alexandria database | PBE | relaxed
data_PmTlFe
_symmetry_space_group_name_H-M 'C 1 2/m 1'
_symmetry_Int_Tables_number 12
_symmetry_space_group_name_Hall '-C 2y'
_cell_length_a 13.204
_cell_length_b 3.946
_cell_length_c 5.431
_cell_angle_alpha 90.00
_cell_angle_beta 101.21
_cell_angle_gamma 90.00
loop_
_atom_site_label
_atom_site_fract_x
_atom_site_fract_y
_atom_site_fract_z
_atom_site_occupancy
Pm1 0.134 0.000 0.320 1
Tl1 0.078 0.500 0.791 1
Fe1 0.227 0.000 0.890 1
# VASP energy = -62.73 eV/cell
# Formation enthalpy at 0 K = -3 kJ per mole of atoms

---

# NiI3Cl9 | the Alexandria database | PBE | relaxed
data_NiI3Cl9
_symmetry_space_group_name_H-M 'C 1 c 1'
_symmetry_Int_Tables_number 9
_symmetry_space_group_name_Hall 'C -2yc'
_cell_length_a 20.891
_cell_length_b 10.316
_cell_length_c 13.266
_cell_angle_alpha 90.00
_cell_angle_beta 128.49
_cell_angle_gamma 90.00
loop_
_atom_site_label
_atom_site_fract_x
_atom_site_fract_y
_atom_site_fract_z
_atom_site_occupancy
Ni1 0.000 0.053 0.000 1
I1 0.054 0.384 0.181 1
I2 0.197 0.113 0.697 1
I3 0.272 0.351 0.190 1
Cl1 0.054 0.094 0.455 1
Cl2 0.082 0.000 0.204 1
Cl3 0.118 0.304 0.061 1
Cl4 0.159 0.453 0.803 1
Cl5 0.270 0.214 0.632 1
Cl6 0.306 0.103 0.927 1
Cl7 0.423 0.392 0.297 1
Cl8 0.440 0.306 0.539 1
Cl9 0.484 0.062 0.766 1
# Formation energy from raw total energies = -0.24 eV per atom
# VASP energy = -120.94 eV/cell

---

# YMgTl | the Alexandria database | PBE | relaxed
data_YMgTl
_symmetry_space_group_name_H-M 'A m m 2'
_symmetry_Int_Tables_number 38
_symmetry_space_group_name_Hall 'A 2 -2'
_cell_length_a 4.499
_cell_length_b 4.827
_cell_length_c 14.426
_cell_angle_alpha 90.00
_cell_angle_beta 90.00
_cell_angle_gamma 90.00
loop_
_atom_site_label
_atom_site_fract_x
_atom_site_fract_y
_atom_site_fract_z
_atom_site_occupancy
Y1 0.000 0.000 0.000 1
Y2 0.000 0.000 0.317 1
Mg1 0.000 0.000 0.657 1
Mg2 0.500 0.000 0.820 1
Tl1 0.500 0.000 0.162 1
Tl2 0.500 0.000 0.478 1
# VASP energy = -44.36 eV/cell
# Formation enthalpy at 0 K = -21 kJ per mole of atoms

---

# SmGa6Rh4 | the Alexandria database | PBE | relaxed
data_SmGa6Rh4
_symmetry_space_group_name_H-M 'P -6 m 2'
_symmetry_Int_Tables_number 187
_symmetry_space_group_name_Hall 'P -6 2'
_cell_length_a 7.4292
_cell_length_b 7.4292
_cell_length_c 3.8541
_cell_angle_alpha 90.00
_cell_angle_beta 90.00
_cell_angle_gamma 120.00
loop_
_atom_site_label
_atom_site_fract_x
_atom_site_fract_y
_atom_site_fract_z
_atom_site_occupancy
Sm1 0.0000 0.0000 0.0000 1
Ga1 0.0652 0.5326 0.0000 1
Ga2 0.3872 0.1936 0.5000 1
Rh1 0.2028 0.4055 0.5000 1
Rh2 0.6667 0.3333 0.0000 1
# VASP energy = -59.31 eV/cell
# Formation enthalpy at 0 K = -62 kJ per mole of atoms

---

Going through the records in order, we get calculated density values of 11.9 8.0 3.6 4.8 8.7 13.2 7.7 4.6 9.4 6.6 9.3 6.7 2.9 6.1 13.6 6.5 10.8 9.7 2.3 6.7 8.8 g cm⁻³.
Going through the records in order, we get volume values of 241 485 680 1389 798 487 92 143 332 1046 346 166 193 701 986 72 273 278 2238 313 184 Å³/cell.